## PmPr12Dy5 (PBE)

Data for PmPr12Dy5 after structural relaxation.

Output
electronic total energy	-169.52	eV per cell
formation enthalpy at 0 K	0.0197	eV/atom
volume	1254	Å³/cell

abc: 15.5161 15.5643 5.1921
angles: 90.00 90.00 90.00
Closest atoms and distances in Å follow each position.
Space group Cmmm (No. 65)
Unique sites:
Pm1 0.0000 0.0000 0.0000  8 Pr 3.65, 4 Dy 3.68
Pr1 0.1644 0.3335 0.5000  4 Dy 3.63-3.64, 8 Pr 3.67-3.71
Pr2 0.1641 0.5000 0.0000  4 Dy 3.64, 8 Pr 3.67-3.71
Pr3 0.1650 0.1671 0.0000  3 Dy 3.64-3.65, 1 Pm 3.65, 8 Pr 3.67-3.71
Pr4 0.1657 0.0000 0.5000  2 Pm 3.65, 2 Dy 3.66, 8 Pr 3.67-3.70
Dy1 0.0000 0.1674 0.5000  8 Pr 3.63-3.66, 2 Dy 3.66, 2 Pm 3.68
Dy2 0.0000 0.3332 0.0000  8 Pr 3.64, 4 Dy 3.66-3.67
Dy3 0.0000 0.5000 0.5000  8 Pr 3.64, 4 Dy 3.67